Entry 1:
Compound: Li2TcMo
Source: the Alexandria database
Functional: PBE
Structure: relaxed

```
Li2TcMo
1.0
-1.8387 2.4880 3.0623
-2.2970 -0.8575 -0.6825
-0.0646 -4.2731 3.4329
Mo Li Tc
1 2 1
direct
0.0000 0.5193 0.5287
0.0000 0.0461 0.0093
0.5000 0.1954 0.2359
0.5000 0.7392 0.7261
```

## Properties
The value obtained for the spin magnetization is 0.0 μB/cell. The calculation puts the formation energy from the elements at 237 meV/atom. The value obtained for the polymorph energy (0 for the lowest one) is 51.8 meV/atom.

---

Entry 2:
Compound: Li2TcMo
Source: the Alexandria database
Functional: PBE
Structure: relaxed

```
Li2TcMo
1.0
-0.3882 0.6291 -2.4701
-2.1508 -1.4218 -0.0241
-4.9458 7.4364 2.6711
Mo Li Tc
1 2 1
direct
0.0000 0.0000 0.5037
0.0000 0.0000 0.9859
0.5000 0.5000 0.2571
0.5000 0.5000 0.7533
```

## Properties
The value obtained for the spin magnetization is 0.0 μB/cell. The calculation puts the formation energy from the elements at 336 meV/atom. The value obtained for the polymorph energy (0 for the lowest one) is 150.9 meV/atom.

---

Entry 3:
Compound: LiTc2Mo
Source: the Alexandria database
Functional: PBE
Structure: relaxed

```
LiTc2Mo
1.0
-1.6017 -0.0540 2.0417
-3.1508 -1.1734 -2.5029
1.2393 -5.1131 0.8369
Li Tc Mo
1 2 1
direct
0.5000 0.5000 0.2500
0.0000 0.0000 0.0186
0.0000 0.0000 0.4814
0.5000 0.5000 0.7500
```

## Properties
The value obtained for the spin magnetization is 0.0 μB/cell. The calculation puts the formation energy from the elements at 308 meV/atom. The value obtained for the polymorph energy (0 for the lowest one) is 128.2 meV/atom.

---

Entry 4:
Compound: Li2TcMo
Source: the Alexandria database
Functional: PBE
Structure: relaxed

```
Li2TcMo
1.0
-1.0307 5.1670 0.5235
-3.5463 1.9340 3.4231
4.0768 -3.3712 -0.2219
Tc Li Mo
1 2 1
direct
0.7500 0.2500 0.5000
0.5000 0.5000 0.0000
0.0000 0.0000 0.0000
0.2500 0.7500 0.5000
```

## Properties
The value obtained for the spin magnetization is 0.0 μB/cell. The calculation puts the formation energy from the elements at 320 meV/atom. The value obtained for the polymorph energy (0 for the lowest one) is 135.1 meV/atom.

---

Entry 5:
Compound: LiTc2Mo
Source: the Alexandria database
Functional: PBE
Structure: relaxed

```
LiTc2Mo
1.0
-1.3455 -6.0853 -7.1344
1.3590 -6.4263 -6.8261
-0.3901 -7.8600 -5.2734
Mo Tc Li
1 2 1
direct
0.7469 0.7469 0.7469
0.9963 0.9963 0.9963
0.2542 0.2542 0.2542
0.5025 0.5025 0.5025
```

## Properties
The value obtained for the spin magnetization is 0.0 μB/cell. The calculation puts the formation energy from the elements at 233 meV/atom. The value obtained for the polymorph energy (0 for the lowest one) is 53.8 meV/atom.

---

Entry 6:
Compound: LiTcMo2
Source: the Alexandria database
Functional: PBE
Structure: relaxed

```
LiTcMo2
1.0
5.1132 -0.0020 0.0001
2.2786 4.5775 -0.0001
-3.2175 -3.0607 2.5348
Mo Tc Li
2 1 1
direct
0.9893 0.9893 0.0000
0.7477 0.2477 0.5000
0.5095 0.5095 0.0000
0.2535 0.7535 0.5000
```

## Properties
The value obtained for the spin magnetization is 0.0 μB/cell. The calculation puts the formation energy from the elements at 285 meV/atom. The value obtained for the polymorph energy (0 for the lowest one) is 71.4 meV/atom.

---

Entry 7:
Compound: LiTc2Mo
Source: the Alexandria database
Functional: PBE
Structure: relaxed

```
LiTc2Mo
1.0
2.6838 0.0000 0.0000
0.0000 2.6838 0.0000
0.0000 0.0000 8.3610
Mo Tc Li
1 2 1
direct
0.5000 0.5000 0.7500
0.0000 0.0000 0.9929
0.0000 0.0000 0.5071
0.5000 0.5000 0.2500
```

## Properties
The value obtained for the spin magnetization is 0.0 μB/cell. The calculation puts the formation energy from the elements at 384 meV/atom. The value obtained for the polymorph energy (0 for the lowest one) is 204.3 meV/atom.

---

Entry 8:
Compound: LiTcMo
Source: the Alexandria database
Functional: PBE
Structure: relaxed

```
LiTcMo
1.0
4.1596 0.0000 0.0000
2.0798 3.6023 0.0000
2.0798 1.2008 3.3963
Li Mo Tc
1 1 1
direct
0.0000 0.0000 0.0000
0.5000 0.5000 0.5000
0.7500 0.7500 0.7500
```

## Properties
The value obtained for the spin magnetization is 0.0 μB/cell. The calculation puts the formation energy from the elements at 817 meV/atom. The value obtained for the polymorph energy (0 for the lowest one) is 666.9 meV/atom.

---

Entry 9:
Compound: LiTc2Mo
Source: the Alexandria database
Functional: PBE
Structure: relaxed

```
LiTc2Mo
1.0
2.6578 0.0000 0.0000
0.0000 4.1614 0.0000
0.0000 0.0000 5.1896
Li Tc Mo
1 2 1
direct
0.0000 0.0000 0.4994
0.0000 0.0000 0.0081
0.5000 0.5000 0.2496
0.5000 0.5000 0.7429
```

## Properties
The value obtained for the spin magnetization is 0.0 μB/cell. The calculation puts the formation energy from the elements at 268 meV/atom. The value obtained for the polymorph energy (0 for the lowest one) is 88.8 meV/atom.

---

Entry 10:
Compound: LiTcMo
Source: the Alexandria database
Functional: PBE
Structure: relaxed

```
LiTcMo
1.0
-3.3617 -4.7666 4.3205
-0.7928 -5.4217 4.4904
-0.7472 1.4345 2.1074
Li Mo Tc
1 1 1
direct
0.0034 0.0034 0.9966
0.3277 0.3277 0.6723
0.6689 0.6689 0.3311
```

## Properties
The value obtained for the spin magnetization is 0.0 μB/cell. The calculation puts the formation energy from the elements at 266 meV/atom. The value obtained for the polymorph energy (0 for the lowest one) is 116.4 meV/atom.

---

Entry 11:
Compound: Li2TcMo
Source: the Alexandria database
Functional: PBE
Structure: relaxed

```
Li2TcMo
1.0
2.5282 0.0000 0.0000
0.0000 4.2254 0.0000
0.0000 0.0000 5.7487
Tc Li Mo
1 2 1
direct
0.5000 0.5000 0.7285
0.5000 0.5000 0.2336
0.0000 0.0000 0.0124
0.0000 0.0000 0.5255
```

## Properties
The value obtained for the spin magnetization is 0.0 μB/cell. The calculation puts the formation energy from the elements at 332 meV/atom. The value obtained for the polymorph energy (0 for the lowest one) is 147.0 meV/atom.

---

Entry 12:
Compound: LiTcMo2
Source: the Alexandria database
Functional: PBE
Structure: relaxed

```
LiTcMo2
1.0
-0.4977 -3.3704 -1.7506
3.3544 -1.2774 1.5057
-1.9087 -1.3374 3.1176
Mo Li Tc
2 1 1
direct
0.0000 0.0000 0.0000
0.0000 0.5000 0.5000
0.5000 0.0000 0.5000
0.5000 0.5000 0.0000
```

## Properties
The value obtained for the spin magnetization is 0.0 μB/cell. The calculation puts the formation energy from the elements at 344 meV/atom. The value obtained for the polymorph energy (0 for the lowest one) is 131.2 meV/atom.

---

Entry 13:
Compound: Li2TcMo
Source: the Alexandria database
Functional: PBE
Structure: relaxed

```
Li2TcMo
1.0
-1.7013 2.3522 -1.1643
-1.6010 0.1694 2.6816
4.2346 4.1834 2.2640
Li Mo Tc
2 1 1
direct
0.5000 0.5000 0.2486
0.0000 0.0000 0.9951
0.0000 0.0000 0.5297
0.5000 0.5000 0.7267
```

## Properties
The value obtained for the spin magnetization is 0.0 μB/cell. The calculation puts the formation energy from the elements at 269 meV/atom. The value obtained for the polymorph energy (0 for the lowest one) is 84.6 meV/atom.

---

Entry 14:
Compound: LiTcMo2
Source: the Alexandria database
Functional: PBE
Structure: relaxed

```
LiTcMo2
1.0
3.2222 0.0000 0.0000
0.0000 3.2222 0.0000
0.0000 0.0000 5.5518
Mo Tc Li
2 1 1
direct
0.0000 0.0000 0.9818
0.5000 0.5000 0.2536
0.0000 0.0000 0.5192
0.5000 0.5000 0.7454
```

## Properties
The value obtained for the spin magnetization is 0.0 μB/cell. The calculation puts the formation energy from the elements at 318 meV/atom. The value obtained for the polymorph energy (0 for the lowest one) is 104.5 meV/atom.

---

Entry 15:
Compound: LiTcMo2
Source: the Alexandria database
Functional: PBE
Structure: relaxed

```
LiTcMo2
1.0
2.6024 0.0000 0.0000
0.0000 2.6024 0.0000
0.0000 0.0000 9.1580
Tc Mo Li
1 2 1
direct
0.0000 0.0000 0.5002
0.5000 0.5000 0.2542
0.0000 0.0000 0.0026
0.5000 0.5000 0.7430
```

## Properties
The value obtained for the spin magnetization is 0.0 μB/cell. The calculation puts the formation energy from the elements at 392 meV/atom. The value obtained for the polymorph energy (0 for the lowest one) is 178.4 meV/atom.

---

Theoretical density (computed, kg/m³): 5714, 5569, 8563, 5877, 8153, 8306, 8241, 6555, 8647, 7303, 5619, 8493, 5539, 8551, 7947